DFT (PBE) results for an optimized crystal structure of Nd8Y3.

The volume comes out at 35.3 A^3/atom. Its crystal system is trigonal. The distance to the lowest polymorph of the same formula comes out at 0.459 eV/atom. The space group is R-3. Its magnetization is 0.00 μB/f.u.

Geometry as CIF:
```
data_Nd8Y3
_chemical_formula_sum 'Nd8 Y3'
_symmetry_space_group_name_H-M 'P 1'
_symmetry_Int_Tables_number 1
_symmetry_space_group_name_Hall 'P 1'
_cell_length_a 7.337
_cell_length_b 7.337
_cell_length_c 7.337
_cell_angle_alpha 83.82
_cell_angle_beta 83.82
_cell_angle_gamma 83.82
loop_
_atom_site_label
_atom_site_type_symbol
_atom_site_fract_x
_atom_site_fract_y
_atom_site_fract_z
_atom_site_occupancy
Nd1 Nd 0.887 0.307 0.149 1
Nd2 Nd 0.307 0.149 0.887 1
Nd3 Nd 0.149 0.887 0.307 1
Nd4 Nd 0.390 0.390 0.390 1
Nd5 Nd 0.610 0.610 0.610 1
Nd6 Nd 0.851 0.113 0.693 1
Nd7 Nd 0.693 0.851 0.113 1
Nd8 Nd 0.113 0.693 0.851 1
Y1 Y 0.500 0.000 0.500 1
Y2 Y 0.000 0.500 0.500 1
Y3 Y 0.500 0.500 0.000 1
```